Entry 1:
ZrCu2Re, relaxed, DFT PBE; crystal system = tetragonal; energy = -28.9 eV/cell; offset from the most stable computed form = 0.00 kJ/mol of atoms; space group = P4/mmm
1.0
3.9540 0.0000 0.0000
0.0000 3.9540 0.0000
0.0000 0.0000 3.8796
Zr Cu Re
1 2 1
direct
0.0000 0.0000 0.0000
0.0000 0.5000 0.5000
0.5000 0.0000 0.5000
0.5000 0.5000 0.0000

Entry 2:
La2SmDy2Cd, relaxed, DFT PBE; crystal system = orthorhombic; energy = -48.7 eV/cell; space group = Pnnm
1.0
6.6320 0.0000 0.0000
0.0000 10.1128 0.0000
0.0000 0.0000 5.8033
La Sm Dy Cd
4 2 4 2
direct
0.1944 0.1365 0.0000
0.3056 0.6365 0.5000
0.6944 0.3635 0.5000
0.8056 0.8635 0.0000
0.0000 0.5000 0.0000
0.5000 0.0000 0.5000
0.1911 0.2952 0.5000
0.3089 0.7952 0.0000
0.6911 0.2048 0.0000
0.8089 0.7048 0.5000
0.0000 0.0000 0.5000
0.5000 0.5000 0.0000

Entry 3:
Mg2ICl2, relaxed, DFT PBE; crystal system = tetragonal; energy = -26.0 eV/cell; offset from the most stable computed form = 0.00 kJ/mol of atoms; E_form (uncorrected) = -0.91 eV per atom; space group = I4/mmm
1.0
4.9932 0.0000 0.0000
0.0000 4.9932 0.0000
0.0000 0.0000 10.7462
Mg I Cl
4 2 4
direct
0.0000 0.5000 0.2500
0.0000 0.5000 0.7500
0.5000 0.0000 0.2500
0.5000 0.0000 0.7500
0.0000 0.0000 0.0000
0.5000 0.5000 0.5000
0.0000 0.0000 0.3316
0.0000 0.0000 0.6684
0.5000 0.5000 0.1684
0.5000 0.5000 0.8316